# Li2YPt

A geometry-optimized Li2YPt structure (GGA-PBEsol, Alexandria via LeMat-Bulk).

Final energy: -19.7 eV per cell
DFT formation energy: -0.501 eV/atom
Energy relative to the lowest polymorph listed for this composition: 34 meV per atom
Magnetic moment: 0.0 μB/f.u.

Geometry as extended XYZ:
```
4
Lattice="-2.486 2.657 2.519 -1.776 -1.533 3.752 2.095 1.608 4.258" Properties=species:S:1:pos:R:3 pbc="T T T"
Y -0.478 0.705 2.672
Pt -0.757 1.480 5.466
Li 1.790 1.501 4.070
Li -1.712 2.018 7.843
```

---

# CuRh5

A geometry-optimized CuRh5 structure (GGA-PBEsol, Alexandria via LeMat-Bulk).

Final energy: -44.5 eV per cell
DFT formation energy: 0.081 eV/atom
Energy relative to the lowest polymorph listed for this composition: 8 meV per atom
Magnetic moment: 0.0 μB/f.u.

Geometry as extended XYZ:
```
6
Lattice="2.679 0.000 0.000 0.000 4.310 0.000 -1.339 0.000 6.891" Properties=species:S:1:pos:R:3 pbc="T T T"
Cu 1.339 0.000 6.891
Rh 0.000 2.155 3.044
Rh 0.000 0.000 4.616
Rh 1.339 2.155 0.747
Rh 1.339 0.000 2.283
Rh 1.339 2.155 5.389
```

---

# LiLa2Br

A geometry-optimized LiLa2Br structure (GGA-PBEsol, Alexandria via LeMat-Bulk).

Final energy: -16.7 eV per cell
Raw formation energy: -0.55 eV/atom
Energy relative to the lowest polymorph listed for this composition: 0 meV per atom
Magnetic moment: 0.0 μB/f.u.

Geometry as extended XYZ:
```
4
Lattice="-2.700 -1.275 2.087 2.655 -2.333 -0.884 5.013 2.636 8.096" Properties=species:S:1:pos:R:3 pbc="T T T"
Br 1.344 -1.086 2.808
La 0.128 0.068 0.207
La 3.752 0.180 6.697
Li 2.250 1.183 3.634
```

---

# MgClF2

A geometry-optimized MgClF2 structure (GGA-PBEsol, Alexandria via LeMat-Bulk).

Final energy: -17.1 eV per cell
Raw formation energy: -2.38 eV/atom
Magnetic moment: 0.2 μB/f.u.

Geometry as extended XYZ:
```
4
Lattice="2.977 0.000 0.000 1.488 2.578 0.000 1.488 0.859 9.111" Properties=species:S:1:pos:R:3 pbc="T T T"
Mg 2.977 1.719 4.555
F 4.465 2.578 3.580
F 1.488 0.859 5.531
Cl 0.000 0.000 0.000
```